(1)
Here is a geometry-optimized ZrReAs2 structure from Alexandria via LeMat-Bulk. Energies are from PBE.

a = 6.3688 Å, b = 6.3688 Å, c = 6.3688 Å
α = 148.38°, β = 148.02°, γ = 45.59°
Last column: nearest neighbours and their distance in Å.
Positions (direct):
Zr 0.7101 0.2101 0.5000  6 As 2.67-2.71
As 0.2978 0.7978 0.5000  2 Re 2.56, 4 Zr 2.67
As 0.0342 0.0342 0.0000  4 Re 2.63, 2 Zr 2.71
Re 0.4579 0.4579 0.0000  6 As 2.56-2.63

Relative energy among the computed polymorphs: 0.00 eV/f.u.
Space group: Imm2 (44)
Fermi-level density of states: 1.7 states/eV/cell
Formation energy: -0.405 eV per atom


(2)
Here is a geometry-optimized InCo2Te structure from Alexandria via LeMat-Bulk. Energies are from PBE.

a = 3.2470 Å, b = 3.2470 Å, c = 7.1637 Å
α = 90.00°, β = 90.00°, γ = 90.00°
Last column: nearest neighbours and their distance in Å.
Positions (direct):
Te 0.5000 0.5000 0.8594  5 Co 2.55-2.57
Co 0.5000 0.5000 0.2160  1 Te 2.55, 4 In 2.66, 4 Co 2.69
Co 0.0000 0.0000 0.0207  4 Te 2.57, 4 Co 2.69, 1 In 2.75
In 0.0000 0.0000 0.4039  5 Co 2.66-2.75

Relative energy among the computed polymorphs: 0.18 eV/f.u.
Space group: P4mm (99)
Fermi-level density of states: 3.6 states/eV/cell
Raw formation energy: 0.218 eV/atom


(3)
Here is a geometry-optimized Li2Nd2ErTl2 structure from Alexandria via LeMat-Bulk. Energies are from PBE.

a = 4.8482 Å, b = 4.8482 Å, c = 9.5684 Å
α = 75.32°, β = 75.32°, γ = 60.00°
Last column: nearest neighbours and their distance in Å.
Positions (direct):
Tl 0.2668 0.2668 0.1995  3 Li 2.81
Tl 0.7332 0.7332 0.8005  3 Li 2.81
Er 0.0000 0.0000 0.0000  6 Li 3.19, 6 Tl 3.34, 2 Nd 3.46
Nd 0.8741 0.8741 0.3777  3 Tl 3.24, 3 Li 3.40, 1 Er 3.46, 3 Nd 3.58
Nd 0.1259 0.1259 0.6223  3 Tl 3.24, 3 Li 3.40, 1 Er 3.46, 3 Nd 3.58
Li 0.3890 0.3890 0.8330  3 Tl 2.81
Li 0.6110 0.6110 0.1670  3 Tl 2.81

Space group: R-3m (166)
Fermi-level density of states: 5.7 states/eV/cell
Formation energy: -0.187 eV per atom


(4)
Here is a geometry-optimized La4Cu3Sb8 structure from Alexandria via LeMat-Bulk. Energies are from PBE.

a = 10.9287 Å, b = 10.9287 Å, c = 10.9287 Å
α = 146.39°, β = 146.39°, γ = 48.27°
Last column: nearest neighbours and their distance in Å.
Positions (direct):
La 0.3690 0.8711 0.0000  3 Cu 3.27, 8 Sb 3.30-3.43
La 0.1289 0.1289 0.4979  3 Cu 3.27, 8 Sb 3.30-3.43
La 0.6310 0.6310 0.5021  3 Cu 3.27, 8 Sb 3.30-3.43
La 0.8711 0.3690 0.0000  3 Cu 3.27, 8 Sb 3.30-3.43
Sb 0.1832 0.6765 0.0000  3 Cu 2.64-2.66
Sb 0.2498 0.2498 0.0000  4 Sb 3.16, 4 La 3.41-3.43
Sb 0.6765 0.1832 0.0000  3 Cu 2.64-2.66
Sb 0.3235 0.3235 0.5067  3 Cu 2.64-2.66
Sb 0.2500 0.7500 0.5000  4 Sb 3.16, 4 La 3.42
Sb 0.7500 0.2500 0.5000  4 Sb 3.16, 4 La 3.42
Sb 0.8168 0.8168 0.4933  3 Cu 2.64-2.66
Sb 0.7502 0.7502 0.0000  4 Sb 3.16, 4 La 3.41-3.43
Cu 0.0000 0.0000 0.0000  4 Sb 2.66
Cu 0.5000 0.0000 0.5000  4 Sb 2.64
Cu 0.0000 0.5000 0.5000  4 Sb 2.64

Relative energy among the computed polymorphs: 0.00 eV/f.u.
Space group: I-42m (121)
Fermi-level density of states: 5.2 states/eV/cell
Raw formation energy: -0.767 eV/atom


(5)
Here is a geometry-optimized HoAgI4 structure from Alexandria via LeMat-Bulk. Energies are from PBE.

a = 4.3494 Å, b = 7.6406 Å, c = 7.7441 Å
α = 94.59°, β = 90.00°, γ = 90.00°
Last column: nearest neighbours and their distance in Å.
Positions (direct):
I 0.5000 0.7899 0.8137  2 Ag 3.00, 1 Ho 3.02
I 0.5000 0.2101 0.1863  2 Ag 3.00, 1 Ho 3.02
I 0.0000 0.7564 0.3413  2 Ho 3.06, 1 Ag 3.35
I 0.0000 0.2436 0.6587  2 Ho 3.06, 1 Ag 3.35
Ho 0.5000 0.0000 0.5000  6 I 3.02-3.06
Ag 0.0000 0.0000 0.0000  6 I 3.00-3.35

Relative energy among the computed polymorphs: 0.00 eV/f.u.
Space group: P2/m (10)
Fermi-level density of states: 0.0 states/eV/cell
Raw formation energy: -0.978 eV/atom


(6)
Here is a geometry-optimized Ba3AcAu3 structure from Alexandria via LeMat-Bulk. Energies are from PBE.

a = 8.8521 Å, b = 8.8521 Å, c = 8.3844 Å
α = 96.77°, β = 96.77°, γ = 119.79°
Last column: nearest neighbours and their distance in Å.
Positions (direct):
Ba 0.2571 0.7429 0.0000  4 Au 3.51-3.56
Ba 0.1912 0.8088 0.5000  6 Au 3.24-3.60
Ba 0.6693 0.6693 0.4026  4 Au 3.34-3.49
Ba 0.3307 0.3307 0.5974  4 Au 3.34-3.49
Ba 0.7429 0.2571 0.0000  4 Au 3.51-3.56
Ba 0.8088 0.1912 0.5000  6 Au 3.24-3.60
Ac 0.2314 0.2314 0.0536  4 Au 3.03-3.13
Ac 0.7686 0.7686 0.9464  4 Au 3.03-3.13
Au 0.4546 0.1463 0.2852  1 Ac 3.03, 1 Ba 3.24
Au 0.8537 0.5454 0.7148  1 Ac 3.03, 1 Ba 3.24
Au 0.0044 0.0044 0.2878  2 Ac 3.12-3.13, 4 Ba 3.34-3.43
Au 0.5454 0.8537 0.7148  1 Ac 3.03, 1 Ba 3.24
Au 0.9956 0.9956 0.7122  2 Ac 3.12-3.13, 4 Ba 3.34-3.43
Au 0.1463 0.4546 0.2852  1 Ac 3.03, 1 Ba 3.24

Relative energy among the computed polymorphs: 0.37 eV/f.u.
Space group: C2/m (12)
Fermi-level density of states: 12.0 states/eV/cell
Formation energy: -0.556 eV per atom


(7)
Here is a geometry-optimized CoSeS structure from Alexandria via LeMat-Bulk. Energies are from PBE.

a = 5.1734 Å, b = 3.3818 Å, c = 3.3818 Å
α = 120.00°, β = 90.00°, γ = 90.00°
Last column: nearest neighbours and their distance in Å.
Positions (direct):
Co 0.3134 0.6667 0.3333  3 S 2.23, 3 Se 2.39
S 0.1067 0.0000 0.0000  3 Co 2.23
Se 0.5799 0.3333 0.6667  3 Co 2.39

Relative energy among the computed polymorphs: 0.06 eV/f.u.
Space group: P3m1 (156)
Fermi-level density of states: 2.4 states/eV/cell
Raw formation energy: -0.282 eV/atom


(8)
Here is a geometry-optimized La5Nd5Hg2 structure from Alexandria via LeMat-Bulk. Energies are from PBE.

a = 5.6681 Å, b = 6.8996 Å, c = 11.3559 Å
α = 89.93°, β = 90.00°, γ = 114.25°
Last column: nearest neighbours and their distance in Å.
Positions (direct):
La 0.5207 0.0414 0.7492  2 Hg 3.21, 1 La 3.51, 1 Nd 3.51
La 0.0000 0.0000 0.5000  2 Hg 3.36, 6 Nd 3.63-3.70
La 0.4793 0.9586 0.2508  2 Hg 3.21, 1 La 3.51, 1 Nd 3.51
La 0.6822 0.3645 0.0389  1 Hg 3.26, 3 La 3.42-3.51
La 0.3178 0.6355 0.9611  1 Hg 3.26, 3 La 3.42-3.51
Nd 0.3146 0.6293 0.5409  1 Hg 3.24, 2 Nd 3.40, 1 La 3.51
Nd 0.0000 0.0000 0.0000  2 Hg 3.33, 4 La 3.67, 2 Nd 3.68
Nd 0.6854 0.3707 0.4591  1 Hg 3.24, 2 Nd 3.40, 1 La 3.51
Nd 0.1830 0.3661 0.2524  2 Hg 3.60, 7 La 3.63-3.82, 4 Nd 3.67-3.68
Nd 0.8170 0.6339 0.7476  2 Hg 3.60, 7 La 3.63-3.82, 4 Nd 3.67-3.68
Hg 0.8594 0.7189 0.2485  4 La 3.21-3.36, 2 Nd 3.24-3.33
Hg 0.1406 0.2811 0.7515  4 La 3.21-3.36, 2 Nd 3.24-3.33

Space group: C2/m (12)
Fermi-level density of states: 16.9 states/eV/cell
Formation energy: -0.129 eV per atom


(9)
Here is a geometry-optimized La2AgHPt structure from Alexandria via LeMat-Bulk. Energies are from PBE.

a = 5.1314 Å, b = 5.1314 Å, c = 3.9996 Å
α = 90.00°, β = 90.00°, γ = 90.00°
Last column: nearest neighbours and their distance in Å.
Positions (direct):
La 0.5000 0.0000 0.0000  2 H 2.57
La 0.0000 0.5000 0.0000  2 H 2.57
Ag 0.0000 0.0000 0.5000  2 H 2.00
H 0.0000 0.0000 0.0000  2 Ag 2.00
Pt 0.5000 0.5000 0.5000  8 La 3.25, 4 Ag 3.63

Relative energy among the computed polymorphs: 0.10 eV/f.u.
Space group: P4/mmm (123)
Fermi-level density of states: 4.0 states/eV/cell


(10)
Here is a geometry-optimized Tb2Tm5CdRu2 structure from Alexandria via LeMat-Bulk. Energies are from PBE.

a = 3.8362 Å, b = 11.6290 Å, c = 11.6290 Å
α = 90.00°, β = 90.00°, γ = 90.00°
Last column: nearest neighbours and their distance in Å.
Positions (direct):
Tm 0.5000 0.2860 0.5624  2 Ru 2.76
Tm 0.5000 0.2140 0.0624  2 Ru 2.76
Tm 0.5000 0.5000 0.0000  4 Ru 2.85
Tm 0.5000 0.4376 0.2860  2 Ru 2.76
Tm 0.5000 0.5624 0.7140  2 Ru 2.76
Tm 0.5000 0.7860 0.9376  2 Ru 2.76
Tm 0.5000 0.9376 0.2140  2 Ru 2.76
Tm 0.5000 0.7140 0.4376  2 Ru 2.76
Tm 0.5000 0.0624 0.7860  2 Ru 2.76
Tm 0.5000 0.0000 0.5000  4 Ru 2.85
Cd 0.0000 0.5000 0.5000  8 Tm 3.22
Cd 0.0000 0.0000 0.0000  8 Tm 3.22
Tb 0.0000 0.6847 0.1847  1 Ru 3.07
Tb 0.0000 0.1847 0.3153  1 Ru 3.07
Tb 0.0000 0.8153 0.6847  1 Ru 3.07
Tb 0.0000 0.3153 0.8153  1 Ru 3.07
Ru 0.0000 0.3715 0.1285  6 Tm 2.76-2.85, 1 Tb 3.07
Ru 0.0000 0.6285 0.8715  6 Tm 2.76-2.85, 1 Tb 3.07
Ru 0.0000 0.1285 0.6285  6 Tm 2.76-2.85, 1 Tb 3.07
Ru 0.0000 0.8715 0.3715  6 Tm 2.76-2.85, 1 Tb 3.07

Space group: P4/mbm (127)
Fermi-level density of states: 20.6 states/eV/cell
Formation energy: -0.315 eV per atom


(11)
Here is a geometry-optimized PmEuTlAu structure from Alexandria via LeMat-Bulk. Energies are from PBE.

a = 5.4022 Å, b = 5.4022 Å, c = 5.4022 Å
α = 60.00°, β = 60.00°, γ = 60.00°
Last column: nearest neighbours and their distance in Å.
Positions (direct):
Eu 0.7500 0.7500 0.7500  4 Tl 3.31, 4 Au 3.31
Pm 0.2500 0.2500 0.2500  4 Tl 3.31, 4 Au 3.31
Au 0.0000 0.0000 0.0000  4 Eu 3.31, 4 Pm 3.31
Tl 0.5000 0.5000 0.5000  4 Eu 3.31, 4 Pm 3.31

Space group: F-43m (216)
Fermi-level density of states: 11.3 states/eV/cell
Formation energy: -0.544 eV per atom


(12)
Here is a geometry-optimized InNi2Br structure from Alexandria via LeMat-Bulk. Energies are from PBE.

a = 3.5199 Å, b = 3.9753 Å, c = 5.5432 Å
α = 79.66°, β = 90.00°, γ = 90.00°
Last column: nearest neighbours and their distance in Å.
Positions (direct):
Ni 0.5000 0.1926 0.2160  2 Br 2.34, 2 Ni 2.47, 2 In 2.52-2.61
Ni 0.0000 0.2461 0.8991  1 Br 2.37, 2 Ni 2.47, 2 In 2.62
Br 0.0000 0.3088 0.4660  3 Ni 2.34-2.37
In 0.5000 0.7526 0.9189  6 Ni 2.52-2.69

Relative energy among the computed polymorphs: 0.00 eV/f.u.
Space group: Pm (6)
Fermi-level density of states: 2.7 states/eV/cell
Raw formation energy: 0.048 eV/atom